# TlBi2IrO8, optimized geometry, DFT GGA-PBE
# Spin magnetization = 0.86 μB/cell
# Crystal system = monoclinic
# VASP energy = -0.4197 Ry per atom
data_TlBi2IrO8
_chemical_formula_sum 'Tl1 Bi2 Ir1 O8'
_cell_length_a 5.0150
_cell_length_b 6.9514
_cell_length_c 5.0200
_cell_angle_alpha 90.00
_cell_angle_beta 90.12
_cell_angle_gamma 90.00
_symmetry_space_group_name_H-M 'P 1 2/m 1'
_symmetry_Int_Tables_number 10
loop_
_symmetry_equiv_pos_as_xyz
'x,y,z'
'-x,-y,-z'
'-x,y,-z'
'x,-y,z'
loop_
_atom_site_label
_atom_site_fract_x
_atom_site_fract_y
_atom_site_fract_z
Tl1 0.0000 0.0000 0.0000
Bi1 0.5000 0.2549 0.5000
Ir1 0.0000 0.5000 0.0000
O1 0.2074 0.2849 0.8462
O2 0.2305 0.5000 0.3036
O3 0.2973 0.0000 0.3318